# H2Pb3O4

A geometry-optimized H2Pb3O4 structure (PBE, Alexandria).

Results
- total DFT energy (no corrections) (eV/cell) = -190.455

CIF file:
```
data_H2Pb3O4
_cell_length_a 8.441
_cell_length_b 8.441
_cell_length_c 9.363
_cell_angle_alpha 90.00
_cell_angle_beta 90.00
_cell_angle_gamma 90.00
_space_group_name_H-M_alt 'P -4 21 c'
_space_group_IT_number 114
loop_
_space_group_symop_operation_xyz
'x,y,z'
'y,-x,-z'
'-x,-y,z'
'-y,x,-z'
'x+1/2,-y+1/2,-z+1/2'
'y+1/2,x+1/2,z+1/2'
'-x+1/2,y+1/2,-z+1/2'
'-y+1/2,-x+1/2,z+1/2'
loop_
_atom_site_label
_atom_site_type_symbol
_atom_site_fract_x
_atom_site_fract_y
_atom_site_fract_z
H1 H 0.175 0.312 0.242
Pb1 Pb 0.000 0.000 0.280
Pb2 Pb 0.108 0.704 0.996
O1 O 0.090 0.186 0.871
O2 O 0.118 0.241 0.173
```